# 1
Here is crystalline LiSb at its relaxed geometry from the Alexandria database. Energies are from PBEsol.

Structure (extended XYZ):
```
8
Lattice="4.311 0.000 0.000 0.000 10.103 0.000 0.000 0.000 4.027" Properties=species:S:1:pos:R:3 pbc="T T T"
Li 0.000 1.047 1.007
Li 0.000 9.056 3.020
Li 2.155 4.004 3.020
Li 2.155 6.098 1.007
Sb 0.000 3.968 1.007
Sb 0.000 6.135 3.020
Sb 2.155 1.084 3.020
Sb 2.155 9.019 1.007
```

Summary:
Formation energy without anion corrections, eV per atom: -0.34
Excess energy over the best structure of this formula in the dataset, eV/atom: 0.092

=====

# 2
Here is crystalline LiSb at its relaxed geometry from the Alexandria database. Energies are from PBEsol.

Structure (extended XYZ):
```
2
Lattice="3.303 0.000 0.000 -1.651 2.860 0.000 0.000 0.000 4.490" Properties=species:S:1:pos:R:3 pbc="T T T"
Li 0.000 0.000 0.000
Sb 0.000 1.907 2.245
```

Summary:
Formation energy without anion corrections, eV per atom: -0.37
Excess energy over the best structure of this formula in the dataset, eV/atom: 0.065

=====

# 3
Here is crystalline Li2Sb at its relaxed geometry from the Alexandria database. Energies are from PBEsol.

Structure (extended XYZ):
```
6
Lattice="4.666 0.000 0.000 -2.333 4.041 0.000 0.000 0.000 5.884" Properties=species:S:1:pos:R:3 pbc="T T T"
Li 0.000 0.000 0.000
Li 0.000 0.000 2.942
Li 0.000 2.694 1.471
Li 2.333 1.347 4.413
Sb 0.000 2.694 4.413
Sb 2.333 1.347 1.471
```

Summary:
Formation energy without anion corrections, eV per atom: -0.51
Excess energy over the best structure of this formula in the dataset, eV/atom: 0.081

=====

# 4
Here is crystalline Li2Sb at its relaxed geometry from the Alexandria database. Energies are from PBEsol.

Structure (extended XYZ):
```
6
Lattice="3.666 0.000 0.000 0.000 3.666 0.000 0.000 0.000 8.398" Properties=species:S:1:pos:R:3 pbc="T T T"
Li 0.000 0.000 1.372
Li 0.000 0.000 7.025
Li 1.833 1.833 2.826
Li 1.833 1.833 5.571
Sb 0.000 0.000 4.199
Sb 1.833 1.833 0.000
```

Summary:
Formation energy without anion corrections, eV per atom: -0.53
Excess energy over the best structure of this formula in the dataset, eV/atom: 0.064

=====

# 5
Here is crystalline LiSb at its relaxed geometry from the Alexandria database. Energies are from PBEsol.

Structure (extended XYZ):
```
4
Lattice="3.211 0.000 0.000 -1.605 2.781 0.000 0.000 0.000 10.275" Properties=species:S:1:pos:R:3 pbc="T T T"
Li 0.000 1.854 1.276
Li 1.605 0.927 8.999
Sb 0.000 1.854 6.747
Sb 1.605 0.927 3.528
```

Summary:
Formation energy without anion corrections, eV per atom: -0.07
Excess energy over the best structure of this formula in the dataset, eV/atom: 0.360

=====

# 6
Here is crystalline LiSb at its relaxed geometry from the Alexandria database. Energies are from PBEsol.

Structure (extended XYZ):
```
4
Lattice="5.458 0.000 0.000 0.000 3.252 0.000 0.000 0.000 4.800" Properties=species:S:1:pos:R:3 pbc="T T T"
Li 1.365 0.000 0.795
Li 4.094 0.000 4.005
Sb 1.365 1.626 3.182
Sb 4.094 1.626 1.618
```

Summary:
Formation energy without anion corrections, eV per atom: -0.38
Excess energy over the best structure of this formula in the dataset, eV/atom: 0.056

=====

# 7
Here is crystalline Li2Sb at its relaxed geometry from the Alexandria database. Energies are from PBEsol.

Structure (extended XYZ):
```
12
Lattice="3.171 0.000 0.000 0.000 15.349 0.000 0.000 0.000 4.643" Properties=species:S:1:pos:R:3 pbc="T T T"
Li 0.000 0.828 1.161
Li 0.000 4.220 3.483
Li 0.000 11.129 1.161
Li 0.000 14.521 3.483
Li 1.585 3.454 1.161
Li 1.585 6.847 3.483
Li 1.585 8.503 1.161
Li 1.585 11.895 3.483
Sb 0.000 5.837 1.161
Sb 0.000 9.513 3.483
Sb 1.585 1.838 3.483
Sb 1.585 13.511 1.161
```

Summary:
Formation energy without anion corrections, eV per atom: -0.56
Excess energy over the best structure of this formula in the dataset, eV/atom: 0.029

=====

# 8
Here is crystalline LiSb at its relaxed geometry from the Alexandria database. Energies are from PBEsol.

Structure (extended XYZ):
```
12
Lattice="11.604 0.000 0.000 0.000 3.076 0.000 -3.464 0.000 7.674" Properties=species:S:1:pos:R:3 pbc="T T T"
Li 0.000 0.000 0.000
Li -1.426 1.538 5.046
Li 3.184 0.000 0.240
Li 5.802 1.538 0.000
Li 4.376 0.000 5.046
Li 8.987 1.538 0.240
Sb 1.407 1.538 2.008
Sb 1.166 0.000 5.521
Sb 4.217 1.538 2.528
Sb 7.209 0.000 2.008
Sb 6.968 1.538 5.521
Sb 10.020 0.000 2.528
```

Summary:
Formation energy without anion corrections, eV per atom: -0.26
Excess energy over the best structure of this formula in the dataset, eV/atom: 0.172

=====

# 9
Here is crystalline LiSb at its relaxed geometry from the Alexandria database. Energies are from PBEsol.

Structure (extended XYZ):
```
2
Lattice="3.451 0.000 0.000 0.000 3.451 0.000 0.000 0.000 3.451" Properties=species:S:1:pos:R:3 pbc="T T T"
Li 0.000 0.000 0.000
Sb 1.726 1.726 1.726
```

Summary:
Formation energy without anion corrections, eV per atom: -0.38
Excess energy over the best structure of this formula in the dataset, eV/atom: 0.057

=====

# 10
Here is crystalline LiSc2Sb2 at its relaxed geometry from the Alexandria database. Energies are from PBEsol.

Structure (extended XYZ):
```
10
Lattice="7.656 0.000 0.000 0.000 7.656 0.000 0.000 0.000 3.862" Properties=species:S:1:pos:R:3 pbc="T T T"
Li 0.000 0.000 0.000
Li 3.828 3.828 0.000
Sc 1.137 2.691 1.931
Sc 2.691 6.519 1.931
Sc 4.964 1.137 1.931
Sc 6.519 4.964 1.931
Sb 1.196 5.024 0.000
Sb 2.631 1.196 0.000
Sb 5.024 6.459 0.000
Sb 6.459 2.631 0.000
```

Summary:
Formation energy without anion corrections, eV per atom: -0.75

=====

# 11
Here is crystalline Li2SbSe at its relaxed geometry from the Alexandria database. Energies are from PBEsol.

Structure (extended XYZ):
```
8
Lattice="3.598 0.000 0.000 0.000 5.019 0.000 0.000 0.000 8.505" Properties=species:S:1:pos:R:3 pbc="T T T"
Li 0.000 0.000 1.872
Li 0.000 0.000 6.633
Li 1.799 2.510 2.381
Li 1.799 2.510 6.125
Sb 0.000 2.510 0.000
Sb 1.799 0.000 4.253
Se 0.000 2.510 4.253
Se 1.799 0.000 0.000
```

Summary:
Formation energy without anion corrections, eV per atom: -0.59
Excess energy over the best structure of this formula in the dataset, eV/atom: 0.000

=====

# 12
Here is crystalline Li3SbSe at its relaxed geometry from the Alexandria database. Energies are from PBEsol.

Structure (extended XYZ):
```
5
Lattice="4.741 0.000 0.000 0.000 4.741 0.000 0.000 0.000 4.741" Properties=species:S:1:pos:R:3 pbc="T T T"
Li 0.000 0.000 2.371
Li 0.000 2.371 0.000
Li 2.371 0.000 0.000
Sb 2.371 2.371 2.371
Se 0.000 0.000 0.000
```

Summary:
Formation energy without anion corrections, eV per atom: -0.53

=====

# 13
Here is crystalline Li2SbSe at its relaxed geometry from the Alexandria database. Energies are from PBEsol.

Structure (extended XYZ):
```
16
Lattice="6.924 0.000 0.000 0.000 6.924 0.000 0.000 0.000 6.924" Properties=species:S:1:pos:R:3 pbc="T T T"
Li 0.000 0.000 0.000
Li 0.000 3.462 3.462
Li 1.731 1.731 1.731
Li 1.731 5.193 5.193
Li 3.462 0.000 3.462
Li 3.462 3.462 0.000
Li 5.193 1.731 5.193
Li 5.193 5.193 1.731
Sb 1.731 1.731 5.193
Sb 1.731 5.193 1.731
Sb 5.193 1.731 1.731
Sb 5.193 5.193 5.193
Se 0.000 0.000 3.462
Se 0.000 3.462 0.000
Se 3.462 0.000 0.000
Se 3.462 3.462 3.462
```

Summary:
Formation energy without anion corrections, eV per atom: -0.23
Excess energy over the best structure of this formula in the dataset, eV/atom: 0.361

=====

# 14
Here is crystalline LiSiSb at its relaxed geometry from the Alexandria database. Energies are from PBEsol.

Structure (extended XYZ):
```
3
Lattice="4.877 0.000 0.000 -2.438 4.223 0.000 0.000 0.000 2.877" Properties=species:S:1:pos:R:3 pbc="T T T"
Li 0.000 0.000 0.000
Si 2.438 1.408 1.443
Sb 0.000 2.815 1.446
```

Summary:
Formation energy without anion corrections, eV per atom: 0.04

=====

# 15
Here is crystalline Li2Si2Sb at its relaxed geometry from the Alexandria database. Energies are from PBEsol.

Structure (extended XYZ):
```
10
Lattice="7.713 0.000 0.000 0.000 7.713 0.000 0.000 0.000 2.875" Properties=species:S:1:pos:R:3 pbc="T T T"
Li 1.470 2.386 0.000
Li 2.386 6.243 0.000
Li 5.326 1.470 0.000
Li 6.243 5.326 0.000
Si 0.824 4.680 1.438
Si 3.032 0.824 1.438
Si 4.680 6.889 1.438
Si 6.889 3.032 1.438
Sb 0.000 0.000 1.438
Sb 3.856 3.856 1.438
```

Summary:
Formation energy without anion corrections, eV per atom: -0.06

=====

# 16
Here is crystalline LiSiSb2Te at its relaxed geometry from the Alexandria database. Energies are from PBEsol.

Structure (extended XYZ):
```
5
Lattice="5.163 0.000 0.000 0.000 5.163 0.000 0.000 0.000 5.417" Properties=species:S:1:pos:R:3 pbc="T T T"
Li 0.000 0.000 0.000
Si 2.582 2.582 2.709
Sb 0.000 2.582 2.709
Sb 2.582 0.000 2.709
Te 2.582 2.582 0.000
```

Summary:
Formation energy without anion corrections, eV per atom: 0.35
Excess energy over the best structure of this formula in the dataset, eV/atom: 0.000

=====

# 17
Here is crystalline LiSiSb2Te at its relaxed geometry from the Alexandria database. Energies are from PBEsol.

Structure (extended XYZ):
```
5
Lattice="4.827 0.000 0.000 0.000 4.827 0.000 0.000 0.000 5.105" Properties=species:S:1:pos:R:3 pbc="T T T"
Li 0.000 0.000 0.000
Si 2.414 2.414 2.553
Sb 0.000 2.414 0.000
Sb 2.414 0.000 0.000
Te 0.000 0.000 2.553
```

Summary:
Formation energy without anion corrections, eV per atom: 0.56
Excess energy over the best structure of this formula in the dataset, eV/atom: 0.216

=====

# 18
Here is crystalline SrLi3Sb at its relaxed geometry from the Alexandria database. Energies are from PBEsol.

Structure (extended XYZ):
```
5
Lattice="5.196 0.000 0.000 0.000 5.196 0.000 0.000 0.000 5.196" Properties=species:S:1:pos:R:3 pbc="T T T"
Sr 0.000 0.000 0.000
Li 0.000 2.598 2.598
Li 2.598 0.000 2.598
Li 2.598 2.598 0.000
Sb 2.598 2.598 2.598
```

Summary:
Formation energy without anion corrections, eV per atom: -0.28

=====

# 19
Here is crystalline SrLi4Sb at its relaxed geometry from the Alexandria database. Energies are from PBEsol.

Structure (extended XYZ):
```
6
Lattice="0.000 4.064 4.064 4.064 0.000 4.064 4.064 4.064 0.000" Properties=species:S:1:pos:R:3 pbc="T T T"
Sr 0.000 0.000 0.000
Li 5.073 3.055 3.055
Li 3.055 5.073 3.055
Li 3.055 3.055 5.073
Li 5.073 5.073 5.073
Sb 2.032 2.032 2.032
```

Summary:
Formation energy without anion corrections, eV per atom: -0.25

=====

# 20
Here is crystalline SrLiSb3 at its relaxed geometry from the Alexandria database. Energies are from PBEsol.

Structure (extended XYZ):
```
5
Lattice="5.915 0.000 0.000 0.000 5.915 0.000 0.000 0.000 5.915" Properties=species:S:1:pos:R:3 pbc="T T T"
Sr 0.000 0.000 0.000
Li 2.957 2.957 2.957
Sb 0.000 0.000 2.957
Sb 0.000 2.957 0.000
Sb 2.957 0.000 0.000
```

Summary:
Formation energy without anion corrections, eV per atom: 0.56